(1)
NbTe3W at its PBEsol-relaxed geometry. Source: the Alexandria database, functional SCAN.

The total energy comes out at -208.0 eV for the cell shown. The value obtained for the density of states at the Fermi level is 0.555 states/eV per atom. For the total magnetization, the calculation gives 4.7 μB/cell. Its energy relative to the elements, uncorrected is 1.316 eV per atom.

a = 5.294 Å, b = 5.294 Å, c = 5.294 Å
α = 90.00°, β = 90.00°, γ = 90.00°
Space group Pm-3m (No. 221)
Asymmetric unit:
Nb: 0.000 0.000 0.000 [1 per cell]
Te: 0.000 0.000 0.500 [3 per cell]
W: 0.500 0.500 0.500 [1 per cell]

(2)
Nb6ZnTe8 at its PBEsol-relaxed geometry. Source: the Alexandria database, functional SCAN.

The total energy comes out at -516.6 eV for the cell shown. The value obtained for the density of states at the Fermi level is 0.387 states/eV per atom. For the total magnetization, the calculation gives 0.0 μB/cell. Its energy relative to the elements, uncorrected is -0.421 eV per atom.

a = 10.5916 Å, b = 10.5916 Å, c = 3.6056 Å
α = 90.00°, β = 90.00°, γ = 120.00°
Space group P-3 (No. 147)
Asymmetric unit:
Nb: 0.1037 0.6151 0.2502 [6 per cell]
Zn: 0.0000 0.0000 0.0000 [1 per cell]
Te: 0.0651 0.3330 0.2494 [6 per cell]
Te: 0.3333 0.6667 0.7504 [2 per cell]

(3)
Ti3Nb at its PBEsol-relaxed geometry. Source: the Alexandria database, functional SCAN.

The total energy comes out at -80.9 eV for the cell shown. The value obtained for the density of states at the Fermi level is 1.364 states/eV per atom. The value obtained for the formation energy is 88 meV per atom. For the total magnetization, the calculation gives 0.0 μB/cell.

a = 4.074 Å, b = 4.074 Å, c = 4.074 Å
α = 90.00°, β = 90.00°, γ = 90.00°
Space group Pm-3m (No. 221)
Asymmetric unit:
Ti: 0.000 0.000 0.500 [3 per cell]
Nb: 0.500 0.500 0.500 [1 per cell]

(4)
Ti3Nb at its PBEsol-relaxed geometry. Source: the Alexandria database, functional SCAN.

The total energy comes out at -161.7 eV for the cell shown. The value obtained for the density of states at the Fermi level is 1.477 states/eV per atom. The value obtained for the formation energy is 86 meV per atom. For the total magnetization, the calculation gives 0.0 μB/cell.

a = 3.900 Å, b = 3.900 Å, c = 8.848 Å
α = 90.00°, β = 90.00°, γ = 90.00°
Space group I4/mmm (No. 139)
Asymmetric unit:
Ti: 0.000 0.000 0.000 [2 per cell]
Ti: 0.000 0.500 0.250 [4 per cell]
Nb: 0.000 0.000 0.500 [2 per cell]

(5)
Ti3Nb at its PBEsol-relaxed geometry. Source: the Alexandria database, functional SCAN.

The total energy comes out at -162.0 eV for the cell shown. The value obtained for the density of states at the Fermi level is 1.602 states/eV per atom. The value obtained for the formation energy is 60 meV per atom. For the total magnetization, the calculation gives 0.0 μB/cell.

a = 8.952 Å, b = 3.177 Å, c = 4.719 Å
α = 90.00°, β = 90.00°, γ = 90.00°
Space group Amm2 (No. 38)
Asymmetric unit:
Ti: 0.000 0.000 0.000 [2 per cell]
Ti: 0.248 0.000 0.395 [4 per cell]
Nb: 0.500 0.000 0.921 [2 per cell]

(6)
Ti3Nb at its PBEsol-relaxed geometry. Source: the Alexandria database, functional SCAN.

The total energy comes out at -161.7 eV for the cell shown. The value obtained for the density of states at the Fermi level is 1.445 states/eV per atom. The value obtained for the formation energy is 89 meV per atom. For the total magnetization, the calculation gives 0.0 μB/cell.

a = 5.7658 Å, b = 5.7658 Å, c = 4.7084 Å
α = 90.00°, β = 90.00°, γ = 120.00°
Space group P6_3/mmc (No. 194)
Asymmetric unit:
Ti: 0.1658 0.3317 0.2500 [6 per cell]
Nb: 0.3333 0.6667 0.7500 [2 per cell]

(7)
Ti2NbTl2 at its PBEsol-relaxed geometry. Source: the Alexandria database, functional SCAN.

The total energy comes out at -416.2 eV for the cell shown. The value obtained for the density of states at the Fermi level is 1.007 states/eV per atom. The value obtained for the formation energy is 359 meV per atom. For the total magnetization, the calculation gives 0.0 μB/cell.

a = 3.776 Å, b = 3.776 Å, c = 13.782 Å
α = 90.00°, β = 90.00°, γ = 90.00°
Space group I4/mmm (No. 139)
Asymmetric unit:
Ti: 0.000 0.500 0.250 [4 per cell]
Nb: 0.000 0.000 0.000 [2 per cell]
Tl: 0.000 0.000 0.400 [4 per cell]

(8)
TiNb2W at its PBEsol-relaxed geometry. Source: the Alexandria database, functional SCAN.

The total energy comes out at -607.9 eV for the cell shown. The value obtained for the density of states at the Fermi level is 1.525 states/eV per atom. The value obtained for the formation energy is -2 meV per atom. For the total magnetization, the calculation gives 0.0 μB/cell.

a = 6.436 Å, b = 6.436 Å, c = 6.436 Å
α = 90.00°, β = 90.00°, γ = 90.00°
Space group Fm-3m (No. 225)
Asymmetric unit:
Ti: 0.000 0.000 0.000 [4 per cell]
Nb: 0.250 0.250 0.250 [8 per cell]
W: 0.000 0.000 0.500 [4 per cell]

(9)
Ti2Nb2Zn at its PBEsol-relaxed geometry. Source: the Alexandria database, functional SCAN.

The total energy comes out at -217.8 eV for the cell shown. The value obtained for the density of states at the Fermi level is 1.087 states/eV per atom. The value obtained for the formation energy is 585 meV per atom. For the total magnetization, the calculation gives 0.0 μB/cell.

a = 3.655 Å, b = 3.655 Å, c = 13.321 Å
α = 90.00°, β = 90.00°, γ = 90.00°
Space group I4/mmm (No. 139)
Asymmetric unit:
Ti: 0.000 0.500 0.250 [4 per cell]
Nb: 0.000 0.000 0.090 [4 per cell]
Zn: 0.000 0.000 0.500 [2 per cell]

(10)
Ti3NbZn at its PBEsol-relaxed geometry. Source: the Alexandria database, functional SCAN.

The total energy comes out at -89.5 eV for the cell shown. The value obtained for the density of states at the Fermi level is 1.382 states/eV per atom. The value obtained for the formation energy is 1041 meV per atom. For the total magnetization, the calculation gives 1.7 μB/cell.

a = 4.693 Å, b = 4.693 Å, c = 4.693 Å
α = 90.00°, β = 90.00°, γ = 90.00°
Space group Pm-3m (No. 221)
Asymmetric unit:
Ti: 0.000 0.000 0.500 [3 per cell]
Nb: 0.000 0.000 0.000 [1 per cell]
Zn: 0.500 0.500 0.500 [1 per cell]

(11)
ZrTiNb2 at its PBEsol-relaxed geometry. Source: the Alexandria database, functional SCAN.

The total energy comes out at -449.9 eV for the cell shown. The value obtained for the density of states at the Fermi level is 1.917 states/eV per atom. The value obtained for the formation energy is 129 meV per atom. For the total magnetization, the calculation gives 0.0 μB/cell.

a = 6.622 Å, b = 6.622 Å, c = 6.622 Å
α = 90.00°, β = 90.00°, γ = 90.00°
Space group Fm-3m (No. 225)
Asymmetric unit:
Zr: 0.000 0.000 0.000 [4 per cell]
Ti: 0.000 0.000 0.500 [4 per cell]
Nb: 0.250 0.250 0.250 [8 per cell]

(12)
YNbTlZn2 at its PBEsol-relaxed geometry. Source: the Alexandria database, functional SCAN.

The total energy comes out at -155.3 eV for the cell shown. The value obtained for the density of states at the Fermi level is 0.921 states/eV per atom. The value obtained for the formation energy is 1007 meV per atom. For the total magnetization, the calculation gives 3.4 μB/cell.

a = 4.821 Å, b = 4.821 Å, c = 5.635 Å
α = 90.00°, β = 90.00°, γ = 90.00°
Space group P4/mmm (No. 123)
Asymmetric unit:
Y: 0.000 0.000 0.000 [1 per cell]
Nb: 0.500 0.500 0.000 [1 per cell]
Tl: 0.000 0.000 0.500 [1 per cell]
Zn: 0.000 0.500 0.500 [2 per cell]